Entry a
Material: Bi2AuI2
Method: DFT, PBE
State: relaxed

Calculated values
Space group ... P4/mbm, No. 127
DOS(E_F) ... 3.02 states/eV per cell

The structure in POSCAR format:
```
Bi2AuI2
1.0
-4.867 2.508 5.332
-2.140 -7.196 1.432
4.395 -0.465 4.231
I Bi Au
4 4 2
Direct
0.189 0.311 0.500
0.811 0.689 0.500
0.689 0.189 0.500
0.311 0.811 0.500
0.151 0.349 0.000
0.849 0.651 0.000
0.651 0.151 0.000
0.349 0.849 0.000
0.500 0.500 0.000
0.000 0.000 0.000
```

***

Entry b
Material: Bi2AuI2
Method: DFT, PBE
State: relaxed

Calculated values
Space group ... C2/m, No. 12
DOS(E_F) ... 1.92 states/eV per cell

The structure in POSCAR format:
```
Bi2AuI2
1.0
4.282 0.000 0.000
0.000 7.953 0.713
-2.141 -0.293 11.183
I Bi Au
4 4 2
Direct
0.927 0.823 0.854
0.073 0.177 0.146
0.598 0.689 0.196
0.402 0.311 0.804
0.337 0.657 0.673
0.663 0.343 0.327
0.791 0.065 0.583
0.209 0.935 0.417
0.791 0.440 0.582
0.209 0.560 0.418
```

***

Each structure's energy above the most stable one, in eV/atom: entry a 0.000; entry b 0.012.